No. 1
## Ac2SeBrN (PBE)

Data for a relaxed structure of Ac2SeBrN.

Computed properties:
**Spin magnetization**: 0.00 μB per atom
**Uncorrected formation energy**: -1776 meV per atom

The structure in CIF format:
```
data_Ac2SeBrN
_chemical_formula_sum 'Ac8 Se4 Br4 N4'
_symmetry_space_group_name_H-M 'C 1 2/m 1'
_symmetry_Int_Tables_number 12
_cell_length_a 16.5733
_cell_length_b 4.2872
_cell_length_c 10.7636
_cell_angle_alpha 90.00
_cell_angle_beta 123.56
_cell_angle_gamma 90.00
loop_
_symmetry_equiv_pos_as_xyz
'x,y,z'
'-x,-y,-z'
'-x,y,-z'
'x,-y,z'
'x+1/2,y+1/2,z'
'-x+1/2,-y+1/2,-z'
'-x+1/2,y+1/2,-z'
'x+1/2,-y+1/2,z'
loop_
_atom_site_label
_atom_site_type_symbol
_atom_site_fract_x
_atom_site_fract_y
_atom_site_fract_z
_atom_site_occupancy
Ac1 Ac 0.1031 0.0000 0.3457 1
Ac2 Ac 0.1229 0.5000 0.6857 1
Se1 Se 0.2379 0.5000 0.3123 1
Br1 Br 0.1210 0.0000 0.9119 1
N1 N 0.0529 0.5000 0.4140 1
```


No. 2
## AlNi2Sb (PBE)

Data for a relaxed structure of AlNi2Sb.

Computed properties:
**Polymorph energy (0 for the lowest one)**: 111 meV per atom
**Spin magnetization**: 0.00 μB per atom
**Uncorrected formation energy**: -131 meV per atom

The structure in CIF format:
```
data_AlNi2Sb
_chemical_formula_sum 'Al2 Ni4 Sb2'
_symmetry_space_group_name_H-M 'I -4 m 2'
_symmetry_Int_Tables_number 119
_symmetry_space_group_name_Hall 'I -4 -2'
_cell_length_a 3.7411
_cell_length_b 3.7411
_cell_length_c 8.3115
_cell_angle_alpha 90.00
_cell_angle_beta 90.00
_cell_angle_gamma 90.00
loop_
_atom_site_label
_atom_site_type_symbol
_atom_site_fract_x
_atom_site_fract_y
_atom_site_fract_z
_atom_site_occupancy
Al1 Al 0.0000 0.0000 0.0000 1
Ni1 Ni 0.0000 0.0000 0.5000 1
Ni2 Ni 0.0000 0.5000 0.7500 1
Sb1 Sb 0.0000 0.5000 0.2500 1
```


Look up the spin magnetization of the second one.
0.00 μB per atom


Among the records above, which one has the lowest uncorrected formation energy?
Ac2SeBrN